Record 1
A plane-wave DFT calculation with PBE was carried out for an optimized crystal structure of LiCePaRu.

The structure in POSCAR format:
```
LiCePaRu
1.0
6.9230 0.0000 0.0000
0.0000 6.9230 0.0000
0.0000 0.0000 6.9230
Li Ce Pa Ru
4 4 4 4
Cartesian
0.0000 0.0000 0.0000
0.0000 3.4615 3.4615
3.4615 0.0000 3.4615
3.4615 3.4615 0.0000
1.7308 1.7308 5.1923
1.7308 5.1923 1.7308
5.1923 1.7308 1.7308
5.1923 5.1923 5.1923
1.7308 1.7308 1.7308
1.7308 5.1923 5.1923
5.1923 1.7308 5.1923
5.1923 5.1923 1.7308
0.0000 0.0000 3.4615
0.0000 3.4615 0.0000
3.4615 0.0000 0.0000
3.4615 3.4615 3.4615
```

Output
- Space group: F-43m
- Energy of formation from the pure elements: 0.006 eV per atom
- Calculated total energy: -6.65 eV/atom
- Calculated volume: 332 Å³/cell
- Total magnetization: 0.01 μB/cell

Record 2
A plane-wave DFT calculation with PBE was carried out for an optimized crystal structure of LiCe3Pa3S8.

The structure in POSCAR format:
```
LiCe3Pa3S8
1.0
3.9081 2.2563 6.4785
-3.9081 2.2563 6.4785
0.0000 -4.5126 6.4785
Li Ce Pa S
1 3 3 8
Cartesian
0.0000 0.0000 0.0000
-3.9081 0.0000 9.7177
-1.9540 1.1282 3.2392
1.9540 1.1282 3.2392
-1.9540 -1.1282 6.4785
-1.9540 1.1282 12.9570
0.0000 2.2563 6.4785
0.0000 -2.2737 8.0159
-1.9691 1.1369 8.0159
0.0000 0.0000 4.8958
-1.9691 -1.1369 11.4196
1.9691 1.1369 8.0159
0.0000 0.0000 14.5397
1.9691 -1.1369 11.4196
0.0000 2.2737 11.4196
```

Output
- Raw formation energy: -1.757 eV per atom
- Space group: R-3m
- Calculated total energy: -7.17 eV/atom
- Calculated volume: 343 Å³/cell
- Total magnetization: 3.85 μB/cell

Record 3
A plane-wave DFT calculation with PBE was carried out for an optimized crystal structure of LiCePa2S5.

The structure in POSCAR format:
```
LiCePa2S5
1.0
-3.7024 3.7024 6.7446
3.7024 -3.7024 6.7446
3.7024 3.7024 -6.7446
Li Ce Pa S
2 2 4 10
Cartesian
3.7024 0.0000 3.3723
0.0000 3.7024 3.3723
0.0000 0.0000 3.3723
0.0000 0.0000 10.1168
4.8270 1.1246 0.0000
1.1246 2.5778 0.0000
2.5778 1.1246 6.7446
-1.1246 2.5778 6.7446
0.0000 0.0000 0.0000
2.4989 1.2035 -1.8915
2.4989 -1.2035 4.8531
2.4989 1.2035 1.8915
2.4989 -1.2035 8.6360
0.0000 0.0000 6.7446
1.2035 4.9058 -1.8915
1.2035 2.4989 4.8531
1.2035 4.9058 1.8915
1.2035 2.4989 8.6360
```

Output
- Raw formation energy: -1.603 eV per atom
- Space group: I4/mcm
- Calculated total energy: -6.88 eV/atom
- Calculated volume: 370 Å³/cell
- Total magnetization: 9.78 μB/cell

Record 4
A plane-wave DFT calculation with PBE was carried out for an optimized crystal structure of Li4CePa3Se8.

The structure in POSCAR format:
```
Li4CePa3Se8
1.0
4.0358 2.3301 6.6867
-4.0358 2.3301 6.6867
0.0000 -4.6601 6.6867
Li Ce Pa Se
4 1 3 8
Cartesian
0.0000 0.0000 0.0000
-2.0179 -1.1650 6.6867
-2.0179 1.1650 13.3735
0.0000 2.3301 6.6867
0.0000 0.0000 10.0301
-4.0358 0.0000 10.0301
-2.0179 1.1650 3.3434
2.0179 1.1650 3.3434
0.0000 -2.3742 8.2662
-2.0561 1.1871 8.2662
-2.0561 -1.1871 11.7940
0.0000 0.0000 5.1034
0.0000 0.0000 14.9568
2.0561 1.1871 8.2662
2.0561 -1.1871 11.7940
0.0000 2.3742 11.7940
```

Output
- Raw formation energy: -1.348 eV per atom
- Space group: R-3m
- Calculated total energy: -5.72 eV/atom
- Calculated volume: 377 Å³/cell
- Total magnetization: 6.62 μB/cell

Record 5
A plane-wave DFT calculation with PBE was carried out for an optimized crystal structure of LiCe2PaSe6.

The structure in POSCAR format:
```
LiCe2PaSe6
1.0
6.7634 0.0000 0.0000
0.0000 6.7634 0.0000
0.0000 0.0000 6.6536
Li Ce Pa Se
1 2 1 6
Cartesian
0.0000 0.0000 0.0000
0.0000 3.3817 3.1028
3.3817 0.0000 3.1028
3.3817 3.3817 0.3733
0.0000 0.0000 4.1964
1.6182 1.6182 1.3412
1.6182 5.1452 1.3412
3.3817 3.3817 4.2315
5.1452 1.6182 1.3412
5.1452 5.1452 1.3412
```

Output
- Raw formation energy: -1.262 eV per atom
- Space group: P4mm
- Calculated total energy: -5.68 eV/atom
- Calculated volume: 304 Å³/cell
- Total magnetization: 2.09 μB/cell

Record 6
A plane-wave DFT calculation with PBE was carried out for an optimized crystal structure of Li3Ce3PaSe8.

The structure in POSCAR format:
```
Li3Ce3PaSe8
1.0
4.2269 2.4404 6.4567
-4.2269 2.4404 6.4567
0.0000 -4.8808 6.4567
Li Ce Pa Se
3 3 1 8
Cartesian
-2.1134 -1.2202 6.4567
-2.1134 1.2202 12.9134
0.0000 2.4404 6.4567
-4.2269 0.0000 9.6850
-2.1134 1.2202 3.2283
2.1134 1.2202 3.2283
0.0000 0.0000 9.6850
0.0000 0.0000 4.8992
0.0000 -2.3384 8.0630
-2.0251 1.1692 8.0630
-2.0251 -1.1692 11.3070
2.0251 1.1692 8.0630
2.0251 -1.1692 11.3070
0.0000 2.3384 11.3070
0.0000 0.0000 14.4708
```

Output
- Raw formation energy: -1.547 eV per atom
- Space group: R-3m
- Calculated total energy: -5.61 eV/atom
- Calculated volume: 400 Å³/cell
- Total magnetization: 4.03 μB/cell

Record 7
A plane-wave DFT calculation with PBE was carried out for an optimized crystal structure of Li2CePaSe4.

The structure in POSCAR format:
```
Li2CePaSe4
1.0
7.0069 0.0000 0.0000
0.0000 4.0812 0.0000
-2.3927 0.0000 6.7155
Li Ce Pa Se
2 1 1 4
Cartesian
0.0000 0.0000 0.0000
-1.1964 2.0406 3.3578
2.3071 0.0000 3.3578
3.5035 2.0406 0.0000
1.0951 2.0406 1.5946
-0.1326 0.0000 5.0519
4.7468 0.0000 1.6636
3.5191 2.0406 5.1209
```

Output
- Raw formation energy: -1.428 eV per atom
- Space group: P2/m
- Calculated total energy: -5.58 eV/atom
- Calculated volume: 192 Å³/cell
- Total magnetization: 2.94 μB/cell

Record 8
A plane-wave DFT calculation with PBE was carried out for an optimized crystal structure of LiCe2PaSe5.

The structure in POSCAR format:
```
LiCe2PaSe5
1.0
4.1235 0.0000 0.0000
-2.0599 8.6634 0.0000
-0.0117 -0.0119 12.5203
Li Ce Pa Se
2 4 2 10
Cartesian
0.0000 0.0000 0.0000
-0.0041 0.8221 6.2660
-0.0060 6.8489 8.3201
-0.0044 7.1934 3.5258
2.0492 2.2766 9.7674
2.0597 2.6219 2.0683
-0.0099 5.5721 12.0031
2.0592 3.9044 5.7601
-0.0105 0.3405 8.6726
-0.0039 0.4663 2.4100
-0.0125 2.7236 12.1121
-0.0029 3.6396 7.7410
-0.0023 4.0930 3.7624
-0.0094 8.2111 11.2857
2.0579 1.2668 5.0298
2.0529 5.3807 10.0169
2.0635 5.8308 1.4701
2.0572 6.7541 5.8531
```

Output
- Raw formation energy: -1.550 eV per atom
- Space group: P1
- Calculated total energy: -6.07 eV/atom
- Calculated volume: 447 Å³/cell
- Total magnetization: 4.60 μB/cell

Record 9
A plane-wave DFT calculation with PBE was carried out for an optimized crystal structure of Li3CePa3Se8.

The structure in POSCAR format:
```
Li3CePa3Se8
1.0
4.0765 2.3535 6.5918
-4.0765 2.3535 6.5918
0.0000 -4.7071 6.5918
Li Ce Pa Se
3 1 3 8
Cartesian
-2.0382 -1.1768 6.5918
-2.0382 1.1768 13.1837
0.0000 2.3535 6.5918
0.0000 0.0000 9.8878
-4.0764 0.0000 9.8878
-2.0382 1.1768 3.2959
2.0382 1.1768 3.2959
0.0000 -2.4038 8.1901
-2.0817 1.2019 8.1901
-2.0818 -1.2019 11.5855
0.0000 0.0000 5.0279
0.0000 0.0000 14.7476
2.0818 1.2019 8.1900
2.0818 -1.2019 11.5855
0.0000 2.4038 11.5855
```

Output
- Raw formation energy: -1.355 eV per atom
- Space group: R-3m
- Calculated total energy: -5.89 eV/atom
- Calculated volume: 379 Å³/cell
- Total magnetization: 5.96 μB/cell

Record 10
A plane-wave DFT calculation with PBE was carried out for an optimized crystal structure of LiCePa2Se4.

The structure in POSCAR format:
```
LiCePa2Se4
1.0
6.9626 0.0000 0.0000
0.0000 4.0158 0.0000
-2.3168 0.0000 6.8641
Li Ce Pa Se
1 1 2 4
Cartesian
0.0000 0.0000 0.0000
3.4813 2.0079 0.0000
-1.1584 2.0079 3.4321
2.3229 0.0000 3.4321
1.0827 2.0079 1.6554
-0.0907 0.0000 5.1761
4.7365 0.0000 1.6880
3.5631 2.0079 5.2088
```

Output
- Raw formation energy: -1.380 eV per atom
- Space group: P2/m
- Calculated total energy: -6.48 eV/atom
- Calculated volume: 192 Å³/cell
- Total magnetization: 2.50 μB/cell

Record 11
A plane-wave DFT calculation with PBE was carried out for an optimized crystal structure of Li3CePa2Te6.

The structure in POSCAR format:
```
Li3CePa2Te6
1.0
3.7299 -6.4585 0.0000
3.7299 6.4585 0.0000
-2.4900 0.0000 7.2509
Li Ce Pa Te
3 1 2 6
Cartesian
0.0000 0.0000 0.0000
3.7299 2.1233 0.0000
3.7299 -2.1233 0.0000
2.4849 0.0000 3.6255
2.4849 4.3118 3.6255
2.4849 -4.3118 3.6255
1.2167 2.1995 1.7126
-0.0508 0.0000 5.5499
1.2167 -2.1995 1.7126
3.7532 2.1995 5.5383
5.0207 0.0000 1.7010
3.7532 -2.1995 5.5383
```

Output
- Raw formation energy: -0.964 eV per atom
- Space group: C2/m
- Calculated total energy: -5.09 eV/atom
- Calculated volume: 349 Å³/cell
- Total magnetization: 4.79 μB/cell

Record 12
A plane-wave DFT calculation with PBE was carried out for an optimized crystal structure of LiCePb2.

The structure in POSCAR format:
```
LiCePb2
1.0
4.8459 0.0000 0.0000
-2.4229 4.1967 0.0000
0.0000 0.0000 16.0842
Li Ce Pb
3 3 6
Cartesian
0.0000 0.0000 0.0000
0.0000 2.7978 10.7228
2.4230 1.3989 5.3614
0.0000 0.0000 8.0421
0.0000 2.7978 2.6807
2.4230 1.3989 13.4035
0.0000 0.0000 4.3241
0.0000 0.0000 11.7601
0.0000 2.7978 6.3987
0.0000 2.7978 15.0469
2.4230 1.3989 1.0373
2.4230 1.3989 9.6855
```

Output
- Space group: R-3m
- Energy of formation from the pure elements: -0.289 eV per atom
- Calculated total energy: -4.11 eV/atom
- Calculated volume: 327 Å³/cell
- Total magnetization: 2.86 μB/cell